Below is a relaxed structure of TaBH, with properties calculated at the PBE level.

Computed properties:
Energy in eV per atom: -7.6966
Total magnetic moment in Bohr magnetons per cell: 0.0

The structure in CIF format:
```
data_TaBH
_space_group_name_H-M_alt 'P 1 21/m 1'
_space_group_IT_number 11
_space_group_name_Hall '-P 2yb'
_cell_length_a 3.169
_cell_length_b 3.044
_cell_length_c 5.586
_cell_angle_alpha 90.00
_cell_angle_beta 106.21
_cell_angle_gamma 90.00
loop_
_atom_site_label
_atom_site_fract_x
_atom_site_fract_y
_atom_site_fract_z
Ta1 0.124 0.250 0.255
B1 0.462 0.250 0.920
H1 0.250 0.750 0.502
```


Below is a relaxed structure of LaDy3Y3, with properties calculated at the PBE level.

Computed properties:
Energy in eV per atom: -5.4288
Total magnetic moment in Bohr magnetons per cell: 0.0

The structure in CIF format:
```
data_LaDy3Y3
_space_group_name_H-M_alt 'P 63/m'
_space_group_IT_number 176
_space_group_name_Hall '-P 6c'
_cell_length_a 9.6507
_cell_length_b 9.6507
_cell_length_c 5.7218
_cell_angle_alpha 90.00
_cell_angle_beta 90.00
_cell_angle_gamma 120.00
loop_
_atom_site_label
_atom_site_fract_x
_atom_site_fract_y
_atom_site_fract_z
La1 0.3333 0.6667 0.2500
Dy1 0.0479 0.8133 0.2500
Y1 0.0961 0.6214 0.7500
```


Below is a relaxed structure of BaPt2Se, with properties calculated at the PBE level.

Computed properties:
Energy relative to the elements, uncorrected in eV/atom: -0.062
Energy in eV per atom: -4.4347
Total magnetic moment in Bohr magnetons per cell: 0.0

The structure in CIF format:
```
data_BaPt2Se
_space_group_name_H-M_alt 'F -4 3 m'
_space_group_IT_number 216
_space_group_name_Hall 'F -4 2 3'
_cell_length_a 7.141
_cell_length_b 7.141
_cell_length_c 7.141
_cell_angle_alpha 90.00
_cell_angle_beta 90.00
_cell_angle_gamma 90.00
loop_
_atom_site_label
_atom_site_fract_x
_atom_site_fract_y
_atom_site_fract_z
Ba1 0.000 0.000 0.000
Pt1 0.000 0.000 0.500
Pt2 0.250 0.250 0.750
Se1 0.250 0.250 0.250
```


Below is a relaxed structure of Tb3Er2Th, with properties calculated at the PBE level.

Computed properties:
Energy in eV per atom: -4.4512
Total magnetic moment in Bohr magnetons per cell: 0.0

The structure in CIF format:
```
data_Tb3Er2Th
_space_group_name_H-M_alt 'I b a m'
_space_group_IT_number 72
_space_group_name_Hall '-I 2 2c'
_cell_length_a 11.021
_cell_length_b 12.022
_cell_length_c 6.743
_cell_angle_alpha 90.00
_cell_angle_beta 90.00
_cell_angle_gamma 90.00
loop_
_atom_site_label
_atom_site_fract_x
_atom_site_fract_y
_atom_site_fract_z
Tb1 0.000 0.000 0.250
Tb2 0.000 0.267 0.250
Er1 0.242 0.183 0.000
Th1 0.000 0.500 0.000
```


Below is a relaxed structure of BeC, with properties calculated at the PBE level.

Computed properties:
Energy in eV per atom: -4.5124
Total magnetic moment in Bohr magnetons per cell: 0.0

The structure in CIF format:
```
data_BeC
_space_group_name_H-M_alt 'P -3 m 1'
_space_group_IT_number 164
_space_group_name_Hall '-P 3 2"'
_cell_length_a 2.2071
_cell_length_b 2.2071
_cell_length_c 7.8952
_cell_angle_alpha 90.00
_cell_angle_beta 90.00
_cell_angle_gamma 120.00
loop_
_atom_site_label
_atom_site_fract_x
_atom_site_fract_y
_atom_site_fract_z
Be1 0.3333 0.6667 0.1197
C1 0.3333 0.6667 0.6963
```


Below is a relaxed structure of LaSnTe3Au, with properties calculated at the PBE level.

Computed properties:
Energy relative to the elements, uncorrected in eV/atom: -0.751
Energy in eV per atom: -4.3567
Total magnetic moment in Bohr magnetons per cell: 0.0

The structure in CIF format:
```
data_LaSnTe3Au
_space_group_name_H-M_alt 'P 1 21/m 1'
_space_group_IT_number 11
_space_group_name_Hall '-P 2yb'
_cell_length_a 9.061
_cell_length_b 4.364
_cell_length_c 9.900
_cell_angle_alpha 90.00
_cell_angle_beta 98.70
_cell_angle_gamma 90.00
loop_
_atom_site_label
_atom_site_fract_x
_atom_site_fract_y
_atom_site_fract_z
La1 0.161 0.250 0.255
Sn1 0.345 0.750 0.845
Te1 0.093 0.250 0.870
Te2 0.253 0.750 0.505
Te3 0.397 0.750 0.158
Au1 0.077 0.250 0.581
```


Below is a relaxed structure of NaLiBeS2, with properties calculated at the PBE level.

Computed properties:
Energy relative to the elements, uncorrected in eV/atom: -0.999
Energy in eV per atom: -4.0413
Total magnetic moment in Bohr magnetons per cell: 0.0

The structure in CIF format:
```
data_NaLiBeS2
_space_group_name_H-M_alt 'P c c m'
_space_group_IT_number 49
_space_group_name_Hall '-P 2 2c'
_cell_length_a 5.416
_cell_length_b 6.155
_cell_length_c 6.783
_cell_angle_alpha 90.00
_cell_angle_beta 90.00
_cell_angle_gamma 90.00
loop_
_atom_site_label
_atom_site_fract_x
_atom_site_fract_y
_atom_site_fract_z
Na1 0.000 0.000 0.250
Li1 0.500 0.500 0.250
Be1 0.000 0.500 0.000
S1 0.251 0.288 0.000
```


Below is a relaxed structure of SrTc2Pb, with properties calculated at the PBE level.

Computed properties:
Energy in eV per atom: -5.4678
Total magnetic moment in Bohr magnetons per cell: 1.6

The structure in CIF format:
```
data_SrTc2Pb
_space_group_name_H-M_alt 'R -3 m'
_space_group_IT_number 166
_space_group_name_Hall '-R 3 2"'
_cell_length_a 3.2529
_cell_length_b 3.2529
_cell_length_c 28.0413
_cell_angle_alpha 90.00
_cell_angle_beta 90.00
_cell_angle_gamma 120.00
loop_
_atom_site_label
_atom_site_fract_x
_atom_site_fract_y
_atom_site_fract_z
Sr1 0.0000 0.0000 0.0000
Tc1 0.0000 0.0000 0.2415
Pb1 0.0000 0.0000 0.5000
```